The following is a DFT calculation (GGA+U) of a relaxed structure of MnBeSi2O6.

CIF file:
```
data_MnBeSi2O6
_cell_length_a 6.8171
_cell_length_b 6.8171
_cell_length_c 5.3213
_cell_angle_alpha 107.41
_cell_angle_beta 107.41
_cell_angle_gamma 88.11
_symmetry_space_group_name_H-M 'P 1'
_symmetry_Int_Tables_number 1
_symmetry_space_group_name_Hall 'P 1'
loop_
_atom_site_label
_atom_site_type_symbol
_atom_site_fract_x
_atom_site_fract_y
_atom_site_fract_z
Mn1 Mn 0.1261 0.8739 0.7500
Mn2 Mn 0.8739 0.1261 0.2500
Be1 Be 0.2009 0.7991 0.2500
Be2 Be 0.7991 0.2009 0.7500
Si1 Si 0.2180 0.3899 0.8254
Si2 Si 0.3899 0.2180 0.3254
Si3 Si 0.6101 0.7820 0.6746
Si4 Si 0.7820 0.6101 0.1746
O1 O 0.0202 0.2170 0.6826
O2 O 0.1721 0.6293 0.9477
O3 O 0.2170 0.0202 0.1826
O4 O 0.3138 0.3760 0.5722
O5 O 0.3707 0.8279 0.5523
O6 O 0.3760 0.3138 0.0722
O7 O 0.6240 0.6862 0.9278
O8 O 0.6293 0.1721 0.4477
O9 O 0.6862 0.6240 0.4278
O10 O 0.7830 0.9798 0.8174
O11 O 0.8279 0.3707 0.0523
O12 O 0.9798 0.7830 0.3174
```

Computed properties:
The space-group type is C2/c, No. 15. The value obtained for the density of states at the Fermi level is 0.000 states/eV/cell. The crystal system is monoclinic. The volume comes out at 11.24 A^3/atom. Its final energy is -7.742 eV/atom. Its size of the total moment is 10.000 μB/cell.